Crystalline Ta2CuHg2 at its relaxed geometry, computed with PBE.

The value obtained for the energy above the most stable polymorph in this dataset is 0.000 eV/f.u. The crystal system is tetragonal. For the density of states at the Fermi level, the calculation gives 1.397 states/eV/atom. As for the mass density: 13.392 Mg/m³. The size of the total moment comes out at 0.0 μB per cell. The calculation puts the formation energy at 0.804 eV/atom.

It has space group P4/mbm (No. 127), with a = 8.176 Å, b = 8.176 Å, c = 3.067 Å, α = 90.00°, β = 90.00° and γ = 90.00°. Symmetry generates all atoms from Ta at (0.117, 0.383, 0.000), Cu at (0.000, 0.000, 0.000) and Hg at (0.181, 0.681, 0.500).